No. 1
In2Pb3: relaxed, PBE.

The structure in POSCAR format:
```
In2Pb3
1.0
6.314 -0.441 0.000
2.617 5.378 0.000
1.308 2.689 8.957
In Pb
4 6
direct
0.000 0.801 0.399
0.000 0.199 0.601
0.500 0.500 0.500
0.500 0.000 0.500
0.253 0.771 0.000
0.747 0.229 0.000
0.253 0.370 0.806
0.747 0.825 0.806
0.253 0.175 0.194
0.747 0.630 0.194
```

## Properties
**Distance to the lowest polymorph of the same formula**: 0.068 eV/atom
**Formation energy**: 95 meV/atom

No. 2
TcAsPbSe2: relaxed, PBE.

The structure in POSCAR format:
```
TcAsPbSe2
1.0
5.112 0.000 0.000
0.000 5.112 0.000
0.000 0.000 4.681
Pb As Tc Se
1 1 1 2
direct
0.500 0.500 0.500
0.000 0.000 0.500
0.000 0.000 0.000
0.000 0.500 0.000
0.500 0.000 0.000
```

## Properties
**Distance to the lowest polymorph of the same formula**: 0.000 eV/atom

No. 3
V4ZnGa2: relaxed, PBE.

The structure in POSCAR format:
```
V4ZnGa2
1.0
2.901 0.000 0.000
0.000 8.872 0.000
0.000 0.000 8.872
V Zn Ga
8 2 4
direct
0.000 0.994 0.339
0.000 0.006 0.661
0.500 0.161 0.494
0.500 0.839 0.506
0.500 0.506 0.839
0.500 0.494 0.161
0.000 0.339 0.994
0.000 0.661 0.006
0.500 0.000 0.000
0.000 0.500 0.500
0.000 0.297 0.703
0.000 0.703 0.297
0.500 0.797 0.797
0.500 0.203 0.203
```

## Properties
**Distance to the lowest polymorph of the same formula**: 0.027 eV/atom
**Formation energy**: 184 meV/atom

No. 4
AlI4N2: relaxed, PBE.

The structure in POSCAR format:
```
AlI4N2
1.0
-1.160 3.550 -1.055
-0.470 -2.348 -7.405
-5.994 -4.361 -0.972
Al I N
1 4 2
direct
0.000 0.000 0.000
0.144 0.622 0.288
0.856 0.378 0.712
0.401 0.879 0.802
0.599 0.121 0.198
0.311 0.332 0.621
0.689 0.668 0.379
```

## Properties
**Total energy**: -20.90 eV/f.u.

No. 5
Ac2LaNd2Sm: relaxed, PBE.

The structure in POSCAR format:
```
Ac2LaNd2Sm
1.0
5.998 0.000 0.000
0.000 7.432 0.000
0.000 0.000 10.339
Ac La Nd Sm
4 2 4 2
direct
0.500 0.008 0.000
0.000 0.258 0.171
0.500 0.508 0.000
0.000 0.758 0.829
0.000 0.008 0.500
0.000 0.508 0.500
0.000 0.257 0.826
0.500 0.258 0.342
0.000 0.757 0.174
0.500 0.758 0.658
0.500 0.258 0.665
0.500 0.758 0.335
```

## Properties
**Formation energy**: 63 meV/atom

No. 6
SeIBr3: relaxed, PBE.

The structure in POSCAR format:
```
SeIBr3
1.0
-3.729 -5.725 -1.625
3.261 -3.640 5.086
-6.136 2.393 5.648
Se I Br
2 2 6
direct
0.693 0.026 0.552
0.867 0.940 0.052
0.158 0.179 0.052
0.403 0.787 0.552
0.085 0.536 0.552
0.476 0.429 0.052
0.609 0.220 0.769
0.609 0.220 0.335
0.952 0.745 0.269
0.952 0.745 0.835
```

## Properties
**Distance to the lowest polymorph of the same formula**: 0.000 eV/atom